1.
A plane-wave DFT calculation with PBE was carried out for AcLa2Te after structural relaxation.

Values from the calculation:
As for the raw formation energy: -2.73 eV/f.u. The value obtained for the calculated density is 7.428 g cm⁻³. Its electronic total energy is -4.96 eV/atom. The energy relative to the lowest polymorph listed for this composition is 0.0 meV per atom.

abc: 4.034 4.034 8.688
angles: 90.00 90.00 90.00
Space group P4/mmm (No. 123)
Asymmetric unit:
Ac 0.000 0.000 0.000
La 0.500 0.500 0.289
Te 0.000 0.000 0.500

2.
A plane-wave DFT calculation with PBE was carried out for Ac4LaTe5 after structural relaxation.

Values from the calculation:
As for the raw formation energy: -15.07 eV/f.u. The value obtained for the calculated density is 7.600 g cm⁻³. Its electronic total energy is -5.21 eV/atom. The energy relative to the lowest polymorph listed for this composition is 5.4 meV per atom.

abc: 4.704 6.652 23.530
angles: 90.00 90.00 90.00
Space group Immm (No. 71)
Asymmetric unit:
Ac 0.000 0.000 0.100
Ac 0.000 0.000 0.302
La 0.000 0.000 0.500
Te 0.000 0.500 0.096
Te 0.000 0.500 0.299
Te 0.000 0.500 0.500

3.
A plane-wave DFT calculation with PBE was carried out for AcLa3Te4 after structural relaxation.

Values from the calculation:
As for the raw formation energy: -12.48 eV/f.u. The value obtained for the calculated density is 6.859 g cm⁻³. Its electronic total energy is -5.49 eV/atom. The energy relative to the lowest polymorph listed for this composition is 6.7 meV per atom.

abc: 4.5707 4.5707 30.8851
angles: 90.00 90.00 120.00
Space group P6_3/mmc (No. 194)
Asymmetric unit:
Ac 0.3333 0.6667 0.2500
La 0.0000 0.0000 0.0000
La 0.3333 0.6667 0.6212
Te 0.0000 0.0000 0.1828
Te 0.3333 0.6667 0.0609

4.
A plane-wave DFT calculation with PBE was carried out for Ac2LaTe5 after structural relaxation.

Values from the calculation:
As for the raw formation energy: -6.67 eV/f.u. The value obtained for the calculated density is 6.131 g cm⁻³. Its electronic total energy is -4.44 eV/atom.

abc: 7.734 7.734 5.574
angles: 90.00 90.00 90.00
Space group P4/mmm (No. 123)
Asymmetric unit:
Ac 0.000 0.500 0.000
La 0.000 0.000 0.500
Te 0.000 0.000 0.000
Te 0.283 0.283 0.500

5.
A plane-wave DFT calculation with PBE was carried out for Ac4La3Te8 after structural relaxation.

Values from the calculation:
As for the raw formation energy: -23.30 eV/f.u. The value obtained for the calculated density is 6.818 g cm⁻³. Its electronic total energy is -5.31 eV/atom.

abc: 13.163 13.172 9.282
angles: 90.00 134.77 90.00
Space group C2/m (No. 12)
Asymmetric unit:
Ac 0.000 0.000 0.000
Ac 0.000 0.500 0.500
Ac 0.250 0.250 0.000
La 0.000 0.000 0.500
La 0.250 0.250 0.500
Te 0.000 0.247 0.500
Te 0.000 0.256 0.000
Te 0.247 0.500 0.006
Te 0.247 0.500 0.488

6.
A plane-wave DFT calculation with PBE was carried out for AcLa3Te4 after structural relaxation.

Values from the calculation:
As for the raw formation energy: -12.53 eV/f.u. The value obtained for the calculated density is 6.865 g cm⁻³. Its electronic total energy is -5.50 eV/atom. The energy relative to the lowest polymorph listed for this composition is 0.0 meV per atom.

abc: 9.303 13.076 4.590
angles: 90.00 90.00 90.00
Space group Cmmm (No. 65)
Asymmetric unit:
Ac 0.000 0.000 0.000
La 0.000 0.500 0.000
La 0.250 0.250 0.500
Te 0.000 0.253 0.000
Te 0.244 0.500 0.500

7.
A plane-wave DFT calculation with PBE was carried out for AcLa2Te after structural relaxation.

Values from the calculation:
As for the raw formation energy: -2.67 eV/f.u. The value obtained for the calculated density is 6.775 g cm⁻³. Its electronic total energy is -4.94 eV/atom. The energy relative to the lowest polymorph listed for this composition is 14.6 meV per atom.

abc: 4.1642 4.1642 30.9636
angles: 90.00 90.00 120.00
Space group R3m (No. 160, hexagonal axes)
Asymmetric unit:
Ac 0.0000 0.0000 0.0000
La 0.0000 0.0000 0.2346
La 0.0000 0.0000 0.4312
Te 0.0000 0.0000 0.8328

8.
A plane-wave DFT calculation with PBE was carried out for Ac2LaTe after structural relaxation.

Values from the calculation:
As for the raw formation energy: -2.02 eV/f.u. The value obtained for the calculated density is 8.510 g cm⁻³. Its electronic total energy is -4.58 eV/atom.

abc: 5.227 5.227 5.145
angles: 90.00 90.00 90.00
Space group P4/mmm (No. 123)
Asymmetric unit:
Ac 0.000 0.500 0.000
La 0.000 0.000 0.500
Te 0.500 0.500 0.500

9.
A plane-wave DFT calculation with PBE was carried out for AcLaTe2 after structural relaxation.

Values from the calculation:
As for the raw formation energy: -5.71 eV/f.u. The value obtained for the calculated density is 8.031 g cm⁻³. Its electronic total energy is -5.26 eV/atom. The energy relative to the lowest polymorph listed for this composition is 107.0 meV per atom.

abc: 4.005 4.005 8.008
angles: 90.00 90.00 90.00
Space group P4/mmm (No. 123)
Asymmetric unit:
Ac 0.000 0.000 0.000
La 0.000 0.000 0.500
Te 0.500 0.500 0.258

10.
A plane-wave DFT calculation with PBE was carried out for AcLaTe after structural relaxation.

Values from the calculation:
As for the raw formation energy: -1.81 eV/f.u. The value obtained for the calculated density is 7.276 g cm⁻³. Its electronic total energy is -4.66 eV/atom. The energy relative to the lowest polymorph listed for this composition is 252.5 meV per atom.

abc: 5.5048 5.5048 4.2916
angles: 90.00 90.00 120.00
Space group P3m1 (No. 156)
Asymmetric unit:
Ac 0.0000 0.0000 0.0000
La 0.3333 0.6667 0.4998
Te 0.6667 0.3333 0.4945

11.
A plane-wave DFT calculation with PBE was carried out for Ac4LaTe5 after structural relaxation.

Values from the calculation:
As for the raw formation energy: -15.13 eV/f.u. The value obtained for the calculated density is 7.608 g cm⁻³. Its electronic total energy is -5.22 eV/atom. The energy relative to the lowest polymorph listed for this composition is 0.0 meV per atom.

abc: 4.7103 4.7103 57.4186
angles: 90.00 90.00 120.00
Space group R-3m (No. 166, hexagonal axes)
Asymmetric unit:
Ac 0.0000 0.0000 0.1018
Ac 0.0000 0.0000 0.2996
La 0.0000 0.0000 0.5000
Te 0.0000 0.0000 0.0000
Te 0.0000 0.0000 0.1980
Te 0.0000 0.0000 0.4010

12.
A plane-wave DFT calculation with PBE was carried out for AcLaTe2 after structural relaxation.

Values from the calculation:
As for the raw formation energy: -6.00 eV/f.u. The value obtained for the calculated density is 7.146 g cm⁻³. Its electronic total energy is -5.33 eV/atom. The energy relative to the lowest polymorph listed for this composition is 34.4 meV per atom.

abc: 4.5140 4.5140 24.5362
angles: 90.00 90.00 120.00
Space group R3m (No. 160, hexagonal axes)
Asymmetric unit:
Ac 0.0000 0.0000 0.0000
La 0.0000 0.0000 0.8247
Te 0.0000 0.0000 0.4148
Te 0.0000 0.0000 0.5769

13.
A plane-wave DFT calculation with PBE was carried out for Ac2La3ThTe6 after structural relaxation.

Values from the calculation:
As for the raw formation energy: -17.39 eV/f.u. The value obtained for the calculated density is 7.455 g cm⁻³. Its electronic total energy is -5.55 eV/atom.

abc: 20.128 4.607 9.238
angles: 90.00 103.69 90.00
Space group C2/m (No. 12)
Asymmetric unit:
Ac 0.163 0.000 0.329
La 0.000 0.500 0.500
La 0.169 0.000 0.836
Th 0.000 0.500 0.000
Te 0.005 0.000 0.756
Te 0.164 0.500 0.075
Te 0.166 0.500 0.589

14.
A plane-wave DFT calculation with PBE was carried out for Ac2LaTmTe5 after structural relaxation.

Values from the calculation:
As for the raw formation energy: -9.91 eV/f.u. The value obtained for the calculated density is 6.588 g cm⁻³. Its electronic total energy is -4.80 eV/atom.

abc: 5.446 5.446 11.898
angles: 90.00 90.00 90.00
Space group P4/mmm (No. 123)
Asymmetric unit:
Ac 0.000 0.000 0.200
La 0.500 0.500 0.500
Tm 0.500 0.500 0.000
Te 0.000 0.000 0.500
Te 0.000 0.500 0.000
Te 0.500 0.500 0.249

15.
A plane-wave DFT calculation with PBE was carried out for Ac2La3TmTe6 after structural relaxation.

Values from the calculation:
As for the raw formation energy: -17.74 eV/f.u. The value obtained for the calculated density is 7.316 g cm⁻³. Its electronic total energy is -5.34 eV/atom.

abc: 7.948 13.800 7.934
angles: 90.00 109.66 90.00
Space group C2/m (No. 12)
Asymmetric unit:
Ac 0.000 0.165 0.000
La 0.000 0.000 0.500
La 0.000 0.322 0.500
Tm 0.000 0.500 0.000
Te 0.227 0.500 0.744
Te 0.237 0.343 0.244

16.
A plane-wave DFT calculation with PBE was carried out for Ac3La2TmTe6 after structural relaxation.

Values from the calculation:
As for the raw formation energy: -17.58 eV/f.u. The value obtained for the calculated density is 7.552 g cm⁻³. Its electronic total energy is -5.26 eV/atom.

abc: 20.169 4.562 9.332
angles: 90.00 104.12 90.00
Space group C2/m (No. 12)
Asymmetric unit:
Ac 0.000 0.000 0.000
Ac 0.172 0.500 0.336
La 0.167 0.500 0.835
Tm 0.000 0.000 0.500
Te 0.000 0.500 0.272
Te 0.156 0.000 0.585
Te 0.168 0.000 0.078

17.
A plane-wave DFT calculation with PBE was carried out for AcLa2TmTe5 after structural relaxation.

Values from the calculation:
As for the raw formation energy: -9.67 eV/f.u. The value obtained for the calculated density is 6.002 g cm⁻³. Its electronic total energy is -4.87 eV/atom.

abc: 5.462 5.462 12.163
angles: 90.00 90.00 90.00
Space group P4/mmm (No. 123)
Asymmetric unit:
Ac 0.000 0.000 0.000
La 0.500 0.500 0.339
Tm 0.000 0.000 0.500
Te 0.000 0.000 0.257
Te 0.000 0.500 0.500
Te 0.500 0.500 0.000

18.
A plane-wave DFT calculation with PBE was carried out for AcLa3Y2Te6 after structural relaxation.

Values from the calculation:
As for the raw formation energy: -17.73 eV/f.u. The value obtained for the calculated density is 6.656 g cm⁻³. Its electronic total energy is -5.70 eV/atom.

abc: 7.838 13.632 7.867
angles: 90.00 109.59 90.00
Space group C2/m (No. 12)
Asymmetric unit:
Ac 0.000 0.000 0.000
La 0.000 0.157 0.500
La 0.000 0.500 0.500
Y 0.000 0.331 0.000
Te 0.227 0.500 0.235
Te 0.243 0.325 0.754

19.
A plane-wave DFT calculation with PBE was carried out for Ac3La4YTe8 after structural relaxation.

Values from the calculation:
As for the raw formation energy: -24.10 eV/f.u. The value obtained for the calculated density is 6.995 g cm⁻³. Its electronic total energy is -5.48 eV/atom.

abc: 9.2412 9.2412 22.5959
angles: 90.00 90.00 120.00
Space group R-3m (No. 166, hexagonal axes)
Asymmetric unit:
Ac 0.0000 0.5000 0.0000
La 0.0000 0.0000 0.5000
La 0.0000 0.5000 0.5000
Y 0.0000 0.0000 0.0000
Te 0.0000 0.0000 0.2467
Te 0.0124 0.5062 0.7501

20.
A plane-wave DFT calculation with PBE was carried out for AcLa2Y3Te6 after structural relaxation.

Values from the calculation:
As for the raw formation energy: -17.24 eV/f.u. The value obtained for the calculated density is 6.610 g cm⁻³. Its electronic total energy is -5.79 eV/atom.

abc: 19.717 4.452 9.099
angles: 90.00 104.80 90.00
Space group C2/m (No. 12)
Asymmetric unit:
Ac 0.000 0.000 0.000
La 0.168 0.500 0.334
Y 0.000 0.000 0.500
Y 0.165 0.500 0.830
Te 0.003 0.500 0.734
Te 0.163 0.000 0.591
Te 0.173 0.000 0.074